Material: Nd7Y2
Method: DFT, GGA-PBE
State: relaxed

Results
Final energy ... -46.2 eV for the cell shown
Crystal system ... trigonal
Formation enthalpy at 0 K ... 0.01 eV/atom
Space group ... No. 162

a b c (Å): 6.340 6.340 8.952
angles (deg): 90.00 90.00 120.00
Fractional coordinates of all 9 atoms:
Nd (0.000, 0.000, 0.000)
Nd (0.000, 0.333, 0.669)
Nd (0.000, 0.667, 0.331)
Nd (0.333, 0.000, 0.669)
Nd (0.333, 0.333, 0.331)
Nd (0.667, 0.000, 0.331)
Nd (0.667, 0.667, 0.669)
Y (0.333, 0.667, 0.000)
Y (0.667, 0.333, 0.000)